Record 1
Density functional theory data (GGA-PBE) for a relaxed structure of LiCaIr2.

Output
V: 71 Å³ per cell
Formation energy from the elements: 0.1218 eV/atom
E: -21.2 eV for the cell shown
D(E_F): 3.8 states/eV/cell
Spin magnetization: 0.131 μB/f.u.

```
LiCaIr2
1.0
3.3155 0.0000 0.0000
0.0000 3.3155 0.0000
0.0000 0.0000 6.4944
Li Ca Ir
1 1 2
Direct
0.0000 0.0000 0.0000
0.5000 0.5000 0.3176
0.0000 0.0000 0.6078
0.5000 0.5000 0.8000
```

Record 2
Density functional theory data (GGA-PBE) for a relaxed structure of CuNi2HPb.

Output
V: 59 Å³ per cell
E: -22.0 eV for the cell shown
D(E_F): 2.9 states/eV/cell
Spin magnetization: 0.000 μB/f.u.

```
CuNi2HPb
1.0
3.9010 0.0000 0.0000
0.0000 3.9010 0.0000
0.0000 0.0000 3.8811
Cu Ni H Pb
1 2 1 1
Direct
0.0000 0.0000 0.0000
0.0000 0.5000 0.5000
0.5000 0.0000 0.5000
0.0000 0.0000 0.5000
0.5000 0.5000 0.0000
```

Record 3
Density functional theory data (GGA-PBE) for a relaxed structure of Ce7SiI12.

Output
V: 811 Å³ per cell
E: -89.5 eV for the cell shown
D(E_F): 56.7 states/eV/cell
Spin magnetization: 9.426 μB/f.u.
Formation energy from raw total energies: -1.196 eV per atom

```
Ce7SiI12
1.0
8.0656 4.6567 3.5997
-8.0656 4.6567 3.5997
0.0000 -9.3134 3.5997
Ce Si I
7 1 12
Direct
0.0000 0.0000 0.0000
0.1820 0.3908 0.4626
0.3908 0.4626 0.1820
0.4626 0.1820 0.3908
0.5374 0.8180 0.6092
0.6092 0.5374 0.8180
0.8180 0.6092 0.5374
0.5000 0.5000 0.5000
0.0269 0.3477 0.1090
0.1090 0.0269 0.3477
0.1866 0.7301 0.5767
0.2699 0.4233 0.8134
0.3477 0.1090 0.0269
0.4233 0.8134 0.2699
0.5767 0.1866 0.7301
0.6523 0.8910 0.9731
0.7301 0.5767 0.1866
0.8134 0.2699 0.4233
0.8910 0.9731 0.6523
0.9731 0.6523 0.8910
```

Q: D(E_F) of number 1 (LiCaIr2)?
A: 3.8 states/eV/cell